# Na3CaHg3

A relaxed Na3CaHg3 crystal (PBE-GGA, the Alexandria database).

Cell: 8.151 8.151 8.151 Å, 90.00 90.00 90.00°
Sites, in units of the cell vectors:
Na1 0.000 0.250 0.500
Na2 0.000 0.750 0.500
Na3 0.250 0.500 0.000
Na4 0.500 0.000 0.250
Na5 0.500 0.000 0.750
Na6 0.750 0.500 0.000
Ca1 0.000 0.000 0.000
Ca2 0.500 0.500 0.500
Hg1 0.000 0.500 0.250
Hg2 0.000 0.500 0.750
Hg3 0.250 0.000 0.500
Hg4 0.500 0.250 0.000
Hg5 0.500 0.750 0.000
Hg6 0.750 0.000 0.500

Values from the calculation:
- final energy (eV per atom) = -0.8723
- energy of formation (eV/atom) = 0.108
- volume (Å³/cell) = 541.6